# 1
HfZn2Pt at its PBEsol-relaxed geometry, computed with SCAN.

Symmetry   Fm-3m
Raw total energy   -40.5525 eV/atom
Calculated density   13922 kg/m3
E_form   -223 kJ/mol of formula units

Lattice parameters (Å, degrees): 4.398 4.398 4.398 60.00 60.00 60.00
Positions (direct):
1 Hf 0.000 0.000 0.000
2 Zn 0.250 0.250 0.250
3 Zn 0.750 0.750 0.750
4 Pt 0.500 0.500 0.500

=====

# 2
CsHfSeBr2 at its PBEsol-relaxed geometry, computed with SCAN.

Uncorrected formation energy   0.7990 eV per atom
Symmetry   P4/mmm
Raw total energy   -31.0972 eV/atom
Calculated density   4343 kg/m3

Lattice parameters (Å, degrees): 6.140 6.140 5.580 90.00 90.00 90.00
Positions (direct):
1 Cs 0.000 0.000 0.000
2 Hf 0.500 0.500 0.500
3 Se 0.000 0.000 0.500
4 Br 0.000 0.500 0.000
5 Br 0.500 0.000 0.000

=====

# 3
Sr2EuCu3Pb2O8 at its PBEsol-relaxed geometry, computed with SCAN.

Uncorrected formation energy   -1.7941 eV per atom
Symmetry   P4/mmm
Raw total energy   -23.3736 eV/atom
Calculated density   7779 kg/m3

Lattice parameters (Å, degrees): 3.787 3.787 15.781 90.00 90.00 90.00
Positions (direct):
1 Sr 0.000 0.000 0.222
2 Sr 0.000 0.000 0.778
3 Eu 0.000 0.000 0.000
4 Cu 0.000 0.000 0.500
5 Cu 0.500 0.500 0.108
6 Cu 0.500 0.500 0.892
7 Pb 0.500 0.500 0.389
8 Pb 0.500 0.500 0.611
9 O 0.000 0.000 0.384
10 O 0.000 0.000 0.616
11 O 0.000 0.500 0.097
12 O 0.000 0.500 0.903
13 O 0.500 0.000 0.097
14 O 0.500 0.000 0.903
15 O 0.500 0.500 0.252
16 O 0.500 0.500 0.748

=====

# 4
Fe5Si at its PBEsol-relaxed geometry, computed with SCAN.

Uncorrected formation energy   -0.1337 eV per atom
Symmetry   P4/mmm
Raw total energy   -16.9109 eV/atom
Calculated density   7995 kg/m3

Lattice parameters (Å, degrees): 2.782 2.782 8.247 90.00 90.00 90.00
Positions (direct):
1 Fe 0.000 0.000 0.000
2 Fe 0.000 0.000 0.338
3 Fe 0.000 0.000 0.662
4 Fe 0.500 0.500 0.169
5 Fe 0.500 0.500 0.831
6 Si 0.500 0.500 0.500

=====

# 5
BaCoSb2I at its PBEsol-relaxed geometry, computed with SCAN.

Uncorrected formation energy   1.1003 eV per atom
Symmetry   P4/mmm
Raw total energy   -32.5232 eV/atom
Calculated density   3827 kg/m3

Lattice parameters (Å, degrees): 6.248 6.248 6.299 90.00 90.00 90.00
Positions (direct):
1 Ba 0.000 0.000 0.000
2 Co 0.500 0.500 0.500
3 Sb 0.000 0.500 0.000
4 Sb 0.500 0.000 0.000
5 I 0.000 0.000 0.500

=====

# 6
TmRh2 at its PBEsol-relaxed geometry, computed with SCAN.

Symmetry   Fd-3m
Raw total energy   -40.6665 eV/atom
Calculated density   12387 kg/m3
E_form   -253 kJ/mol of formula units

Lattice parameters (Å, degrees): 5.218 5.218 5.218 60.00 60.00 60.00
Positions (direct):
1 Tm 0.125 0.125 0.125
2 Tm 0.875 0.875 0.875
3 Rh 0.000 0.500 0.500
4 Rh 0.500 0.000 0.500
5 Rh 0.500 0.500 0.000
6 Rh 0.500 0.500 0.500

=====

# 7
LaNiGe at its PBEsol-relaxed geometry, computed with SCAN.

Symmetry   P-6m2
Raw total energy   -26.8902 eV/atom
Calculated density   7311 kg/m3
E_form   -222 kJ/mol of formula units

Lattice parameters (Å, degrees): 4.102 4.102 4.211 90.00 90.00 120.00
Positions (direct):
1 La 0.000 0.000 0.000
2 Ni 0.333 0.667 0.500
3 Ge 0.667 0.333 0.500

=====

# 8
CaRe2Te at its PBEsol-relaxed geometry, computed with SCAN.

Uncorrected formation energy   0.7739 eV per atom
Symmetry   C2/m
Raw total energy   -46.5035 eV/atom
Calculated density   12006 kg/m3

Lattice parameters (Å, degrees): 6.050 6.050 2.888 103.79 103.79 124.59
Positions (direct):
1 Ca 0.000 0.000 0.000
2 Re 0.000 0.500 0.000
3 Re 0.500 0.000 0.000
4 Te 0.500 0.500 0.000

=====

# 9
Rb2BeF4 at its PBEsol-relaxed geometry, computed with SCAN.

Uncorrected formation energy   -3.2769 eV per atom
Symmetry   Pnma
Raw total energy   -11.8472 eV/atom
Calculated density   3769 kg/m3

Lattice parameters (Å, degrees): 7.630 5.821 10.156 90.00 90.00 90.00
Positions (direct):
1 Rb 0.014 0.250 0.190
2 Rb 0.161 0.750 0.407
3 Rb 0.339 0.250 0.907
4 Rb 0.486 0.750 0.690
5 Rb 0.514 0.250 0.310
6 Rb 0.661 0.750 0.093
7 Rb 0.839 0.250 0.593
8 Rb 0.986 0.750 0.810
9 Be 0.239 0.750 0.081
10 Be 0.261 0.250 0.581
11 Be 0.739 0.750 0.419
12 Be 0.761 0.250 0.919
13 F 0.035 0.750 0.088
14 F 0.189 0.031 0.651
15 F 0.189 0.469 0.651
16 F 0.192 0.250 0.436
17 F 0.308 0.750 0.936
18 F 0.311 0.531 0.151
19 F 0.311 0.969 0.151
20 F 0.465 0.250 0.588
21 F 0.535 0.750 0.412
22 F 0.689 0.031 0.849
23 F 0.689 0.469 0.849
24 F 0.692 0.250 0.064
25 F 0.808 0.750 0.564
26 F 0.811 0.531 0.349
27 F 0.811 0.969 0.349
28 F 0.965 0.250 0.912

=====

# 10
BaIr2Au at its PBEsol-relaxed geometry, computed with SCAN.

Symmetry   F-43m
Raw total energy   -61.8782 eV/atom
Calculated density   15100 kg/m3
E_form   327 kJ/mol of formula units

Lattice parameters (Å, degrees): 4.817 4.817 4.817 60.00 60.00 60.00
Positions (direct):
1 Ba 0.000 0.000 0.000
2 Ir 0.250 0.250 0.250
3 Ir 0.500 0.500 0.500
4 Au 0.750 0.750 0.750

=====

# 11
TmCu2 at its PBEsol-relaxed geometry, computed with SCAN.

Symmetry   Imma
Raw total energy   -27.7387 eV/atom
Calculated density   9996 kg/m3
E_form   -95 kJ/mol of formula units

Lattice parameters (Å, degrees): 5.281 5.281 5.281 133.04 103.43 94.89
Positions (direct):
1 Tm 0.297 0.047 0.250
2 Tm 0.703 0.953 0.750
3 Cu 0.111 0.665 0.447
4 Cu 0.282 0.335 0.947
5 Cu 0.718 0.665 0.053
6 Cu 0.889 0.335 0.553

=====

# 12
LaSc5 at its PBEsol-relaxed geometry, computed with SCAN.

Symmetry   P-62m
Raw total energy   -18.9841 eV/atom
Calculated density   4009 kg/m3
E_form   37 kJ/mol of formula units

Lattice parameters (Å, degrees): 5.759 5.759 5.244 90.00 90.00 120.00
Positions (direct):
1 La 0.000 0.000 0.000
2 Sc 0.000 0.663 0.500
3 Sc 0.333 0.667 0.000
4 Sc 0.337 0.337 0.500
5 Sc 0.663 0.000 0.500
6 Sc 0.667 0.333 0.000